This record from Alexandria describes a relaxed TlFePb crystal. The functional is GGA-PBE.

Values from the calculation:
polymorph energy (0 for the lowest one): 33.3 meV/atom

Cell: 3.3813 3.3813 7.1313 Å, 90.00 90.00 120.00°
Space group P3m1 (No. 156)
Inequivalent atoms, fractional coordinates:
Tl: 0.0000 0.0000 0.0000 (multiplicity 1)
Fe: 0.6667 0.3333 0.2906 (multiplicity 1)
Pb: 0.3333 0.6667 0.5833 (multiplicity 1)



This record from Alexandria describes a relaxed Tl2FePb crystal. The functional is GGA-PBE.

Values from the calculation:
polymorph energy (0 for the lowest one): 198.1 meV/atom

Cell: 6.219 11.243 3.354 Å, 90.00 118.35 90.00°
Space group C2/m (No. 12)
Inequivalent atoms, fractional coordinates:
Tl: 0.250 0.250 0.000 (multiplicity 4)
Fe: 0.000 0.000 0.500 (multiplicity 2)
Pb: 0.000 0.500 0.500 (multiplicity 2)



This record from Alexandria describes a relaxed TlFe2Pb crystal. The functional is GGA-PBE.

Cell: 3.829 3.958 5.486 Å, 90.00 110.15 90.00°
Space group Pm (No. 6)
Inequivalent atoms, fractional coordinates:
Tl: 0.000 0.000 0.000 (multiplicity 1)
Fe: 0.576 0.500 0.155 (multiplicity 1)
Fe: 0.713 0.000 0.423 (multiplicity 1)
Pb: 0.292 0.500 0.584 (multiplicity 1)



This record from Alexandria describes a relaxed TlFePb crystal. The functional is GGA-PBE.

Values from the calculation:
polymorph energy (0 for the lowest one): 5.6 meV/atom

Cell: 4.601 4.632 13.309 Å, 90.00 90.00 90.00°
Space group Fmm2 (No. 42)
Inequivalent atoms, fractional coordinates:
Tl: 0.000 0.000 0.000 (multiplicity 4)
Fe: 0.000 0.000 0.365 (multiplicity 4)
Pb: 0.000 0.000 0.723 (multiplicity 4)



This record from Alexandria describes a relaxed Tl2FePb crystal. The functional is GGA-PBE.

Values from the calculation:
polymorph energy (0 for the lowest one): 75.1 meV/atom

Cell: 4.314 5.051 9.124 Å, 90.00 90.00 90.00°
Space group Cmmm (No. 65)
Inequivalent atoms, fractional coordinates:
Tl: 0.000 0.000 0.202 (multiplicity 4)
Fe: 0.000 0.500 0.000 (multiplicity 2)
Pb: 0.000 0.500 0.500 (multiplicity 2)



This record from Alexandria describes a relaxed Tl2FePb crystal. The functional is GGA-PBE.

Values from the calculation:
polymorph energy (0 for the lowest one): 189.4 meV/atom

Cell: 4.656 4.656 9.342 Å, 90.00 90.00 90.00°
Space group I-4m2 (No. 119)
Inequivalent atoms, fractional coordinates:
Tl: 0.000 0.000 0.000 (multiplicity 2)
Tl: 0.000 0.500 0.250 (multiplicity 2)
Fe: 0.000 0.500 0.750 (multiplicity 2)
Pb: 0.000 0.000 0.500 (multiplicity 2)



This record from Alexandria describes a relaxed Tl2FePb crystal. The functional is GGA-PBE.

Values from the calculation:
polymorph energy (0 for the lowest one): 79.2 meV/atom

Cell: 3.279 3.279 9.231 Å, 90.00 90.00 90.00°
Space group P4/mmm (No. 123)
Inequivalent atoms, fractional coordinates:
Tl: 0.000 0.000 0.199 (multiplicity 2)
Fe: 0.500 0.500 0.000 (multiplicity 1)
Pb: 0.500 0.500 0.500 (multiplicity 1)



This record from Alexandria describes a relaxed TlFe3Pb crystal. The functional is GGA-PBE.

Values from the calculation:
polymorph energy (0 for the lowest one): 0.0 meV/atom

Cell: 4.986 4.986 4.986 Å, 90.00 90.00 90.00°
Space group Pm-3m (No. 221)
Inequivalent atoms, fractional coordinates:
Tl: 0.000 0.000 0.000 (multiplicity 1)
Fe: 0.000 0.500 0.500 (multiplicity 3)
Pb: 0.500 0.500 0.500 (multiplicity 1)



This record from Alexandria describes a relaxed Tl2FePb crystal. The functional is GGA-PBE.

Values from the calculation:
polymorph energy (0 for the lowest one): 232.2 meV/atom

Cell: 7.481 7.481 7.481 Å, 90.00 90.00 90.00°
Space group F-43m (No. 216)
Inequivalent atoms, fractional coordinates:
Tl: 0.000 0.000 0.000 (multiplicity 4)
Tl: 0.250 0.250 0.250 (multiplicity 4)
Fe: 0.250 0.250 0.750 (multiplicity 4)
Pb: 0.000 0.000 0.500 (multiplicity 4)



This record from Alexandria describes a relaxed TlFe2Pb crystal. The functional is GGA-PBE.

Cell: 3.2276 3.2276 26.2414 Å, 90.00 90.00 120.00°
Space group R-3m (No. 166, hexagonal axes)
Inequivalent atoms, fractional coordinates:
Tl: 0.0000 0.0000 0.0000 (multiplicity 3)
Fe: 0.0000 0.0000 0.2505 (multiplicity 6)
Pb: 0.0000 0.0000 0.5000 (multiplicity 3)



This record from Alexandria describes a relaxed TlFe2Pb crystal. The functional is GGA-PBE.

Cell: 3.125 4.554 11.385 Å, 90.00 90.00 90.00°
Space group Imm2 (No. 44)
Inequivalent atoms, fractional coordinates:
Tl: 0.000 0.000 0.000 (multiplicity 2)
Fe: 0.000 0.000 0.485 (multiplicity 2)
Fe: 0.000 0.500 0.826 (multiplicity 2)
Pb: 0.000 0.500 0.225 (multiplicity 2)



This record from Alexandria describes a relaxed TlFePb2 crystal. The functional is GGA-PBE.

Values from the calculation:
polymorph energy (0 for the lowest one): 482.6 meV/atom

Cell: 7.342 7.342 7.342 Å, 90.00 90.00 90.00°
Space group Fm-3m (No. 225)
Inequivalent atoms, fractional coordinates:
Tl: 0.000 0.000 0.000 (multiplicity 4)
Fe: 0.000 0.000 0.500 (multiplicity 4)
Pb: 0.250 0.250 0.250 (multiplicity 8)



This record from Alexandria describes a relaxed Tl2FePb crystal. The functional is GGA-PBE.

Values from the calculation:
polymorph energy (0 for the lowest one): 196.5 meV/atom

Cell: 4.468 4.468 10.197 Å, 90.00 90.00 90.00°
Space group I4/mmm (No. 139)
Inequivalent atoms, fractional coordinates:
Tl: 0.000 0.500 0.250 (multiplicity 4)
Fe: 0.000 0.000 0.000 (multiplicity 2)
Pb: 0.000 0.000 0.500 (multiplicity 2)



This record from Alexandria describes a relaxed Tl2FePb crystal. The functional is GGA-PBE.

Values from the calculation:
polymorph energy (0 for the lowest one): 102.7 meV/atom

Cell: 3.4202 3.4202 30.0603 Å, 90.00 90.00 120.00°
Space group R-3m (No. 166, hexagonal axes)
Inequivalent atoms, fractional coordinates:
Tl: 0.0000 0.0000 0.2362 (multiplicity 6)
Fe: 0.0000 0.0000 0.5000 (multiplicity 3)
Pb: 0.0000 0.0000 0.0000 (multiplicity 3)



This record from Alexandria describes a relaxed TlFe2Pb crystal. The functional is GGA-PBE.

Cell: 7.488 7.488 6.049 Å, 90.00 90.00 90.00°
Space group I-42d (No. 122)
Inequivalent atoms, fractional coordinates:
Tl: 0.000 0.000 0.000 (multiplicity 4)
Fe: 0.249 0.250 0.125 (multiplicity 8)
Pb: 0.000 0.000 0.500 (multiplicity 4)



no.,energy of formation (meV/atom),D(E_F) (states/eV per atom),magnetization (μB per atom)
1,552,1.282,0.835
2,571,0.954,0.779
3,495,0.985,1.192
4,525,1.175,0.863
5,448,1.013,0.700
6,562,0.808,0.769
7,452,1.185,0.729
8,1419,1.704,1.791
9,605,1.608,0.798
10,727,1.364,1.409
11,512,0.908,1.271
12,802,2.078,0.020
13,569,0.914,0.786
14,475,1.043,0.778
15,860,1.440,1.376